i.
{"formula": "UAgTe", "functional": "GGA-PBE", "state": "relaxed", "sg": "F-43m", "magmom_total_mub_per_atom": 1.001, "cell": [[0.0000, 3.5488, 3.5488], [3.5488, 0.0000, 3.5488], [3.5488, 3.5488, 0.0000]], "species": ["Ag", "Te", "U"], "fractional_positions": [[0.2500, 0.2500, 0.2500], [0.7500, 0.7500, 0.7500], [0.0000, 0.0000, 0.0000]]}



ii.
{"formula": "UAgTe", "functional": "GGA-PBE", "state": "relaxed", "sg": "F-43m", "magmom_total_mub_per_atom": 0.945, "cell": [[2.5840, -2.7332, 3.0869], [-0.8711, -4.7754, 0.3360], [3.2493, -3.1921, -1.7113]], "species": ["Ag", "Te", "U"], "fractional_positions": [[0.0000, 0.0000, 0.0000], [0.2500, 0.2500, 0.2500], [0.7500, 0.7500, 0.7500]]}



Looking at the structures above, which would you pick as the most stable? I would pick i.